No. 1
{
  "formula": "ScZn2Pd",
  "functional": "meta-GGA SCAN",
  "state": "PBEsol geometry",
  "cell": [[0.000, 3.114, 3.114], [3.114, 0.000, 3.114], [3.114, 3.114, 0.000]],
  "species": ["Sc", "Zn", "Zn", "Pd"],
  "frac_coords": [[0.000, 0.000, 0.000], [0.250, 0.250, 0.250], [0.750, 0.750, 0.750], [0.500, 0.500, 0.500]],
  "ef_ev_per_atom": -0.6057,
  "crystal_system": "cubic",
  "dos_ef_per_ev_atom": 0.4181
}

No. 2
{
  "formula": "ZrSc3Pd",
  "functional": "meta-GGA SCAN",
  "state": "PBEsol geometry",
  "cell": [[4.891, 0.000, 0.000], [0.000, 4.891, 0.000], [0.000, 0.000, 4.891]],
  "species": ["Zr", "Sc", "Sc", "Sc", "Pd"],
  "frac_coords": [[0.000, 0.000, 0.000], [0.000, 0.000, 0.500], [0.000, 0.500, 0.000], [0.500, 0.000, 0.000], [0.500, 0.500, 0.500]],
  "ef_ev_per_atom": 0.8502,
  "crystal_system": "cubic",
  "dos_ef_per_ev_atom": 0.7895
}

No. 3
{
  "formula": "Pd4Se",
  "functional": "meta-GGA SCAN",
  "state": "PBEsol geometry",
  "cell": [[5.214, 0.000, 0.000], [0.000, 5.214, 0.000], [0.000, 0.000, 5.631]],
  "species": ["Pd", "Pd", "Pd", "Pd", "Pd", "Pd", "Pd", "Pd", "Se", "Se"],
  "frac_coords": [[0.126, 0.268, 0.155], [0.232, 0.374, 0.655], [0.268, 0.874, 0.845], [0.374, 0.768, 0.345], [0.626, 0.232, 0.345], [0.732, 0.126, 0.845], [0.768, 0.626, 0.655], [0.874, 0.732, 0.155], [0.000, 0.000, 0.500], [0.500, 0.500, 0.000]],
  "crystal_system": "tetragonal",
  "e_form_raw_ev_per_atom": -0.1822,
  "dos_ef_per_ev_atom": 0.4144
}

No. 4
{
  "formula": "PdSe",
  "functional": "meta-GGA SCAN",
  "state": "PBEsol geometry",
  "cell": [[6.708, 0.000, 0.000], [0.000, 6.708, 0.000], [0.000, 0.000, 6.912]],
  "species": ["Pd", "Pd", "Pd", "Pd", "Pd", "Pd", "Pd", "Pd", "Se", "Se", "Se", "Se", "Se", "Se", "Se", "Se"],
  "frac_coords": [[0.000, 0.000, 0.250], [0.000, 0.000, 0.750], [0.000, 0.500, 0.000], [0.263, 0.528, 0.500], [0.472, 0.263, 0.000], [0.500, 0.000, 0.500], [0.528, 0.737, 0.000], [0.737, 0.472, 0.500], [0.195, 0.307, 0.228], [0.195, 0.307, 0.772], [0.307, 0.805, 0.272], [0.307, 0.805, 0.728], [0.693, 0.195, 0.272], [0.693, 0.195, 0.728], [0.805, 0.693, 0.228], [0.805, 0.693, 0.772]],
  "crystal_system": "tetragonal",
  "e_form_raw_ev_per_atom": -0.3858,
  "dos_ef_per_ev_atom": 0.1499
}

No. 5
{
  "formula": "PdSe",
  "functional": "meta-GGA SCAN",
  "state": "PBEsol geometry",
  "cell": [[11.562, 0.000, 0.000], [0.000, 11.562, 0.000], [0.000, 0.000, 6.998]],
  "species": ["Pd", "Pd", "Pd", "Pd", "Pd", "Pd", "Pd", "Pd", "Pd", "Pd", "Pd", "Pd", "Pd", "Pd", "Pd", "Pd", "Pd", "Pd", "Pd", "Pd", "Pd", "Pd", "Pd", "Pd", "Se", "Se", "Se", "Se", "Se", "Se", "Se", "Se", "Se", "Se", "Se", "Se", "Se", "Se", "Se", "Se", "Se", "Se", "Se", "Se", "Se", "Se", "Se", "Se"],
  "frac_coords": [[0.046, 0.129, 0.000], [0.113, 0.613, 0.250], [0.113, 0.613, 0.750], [0.129, 0.954, 0.500], [0.143, 0.269, 0.500], [0.231, 0.357, 0.000], [0.269, 0.857, 0.000], [0.357, 0.769, 0.500], [0.371, 0.454, 0.500], [0.387, 0.113, 0.250], [0.387, 0.113, 0.750], [0.454, 0.629, 0.000], [0.546, 0.371, 0.000], [0.613, 0.887, 0.250], [0.613, 0.887, 0.750], [0.629, 0.546, 0.500], [0.643, 0.231, 0.500], [0.731, 0.143, 0.000], [0.769, 0.643, 0.000], [0.857, 0.731, 0.500], [0.871, 0.046, 0.500], [0.887, 0.387, 0.250], [0.887, 0.387, 0.750], [0.954, 0.871, 0.000], [0.096, 0.404, 0.250], [0.096, 0.404, 0.750], [0.110, 0.823, 0.224], [0.110, 0.823, 0.776], [0.177, 0.110, 0.276], [0.177, 0.110, 0.724], [0.323, 0.610, 0.276], [0.323, 0.610, 0.724], [0.390, 0.323, 0.224], [0.390, 0.323, 0.776], [0.404, 0.904, 0.250], [0.404, 0.904, 0.750], [0.596, 0.096, 0.250], [0.596, 0.096, 0.750], [0.610, 0.677, 0.224], [0.610, 0.677, 0.776], [0.677, 0.390, 0.276], [0.677, 0.390, 0.724], [0.823, 0.890, 0.276], [0.823, 0.890, 0.724], [0.890, 0.177, 0.224], [0.890, 0.177, 0.776], [0.904, 0.596, 0.250], [0.904, 0.596, 0.750]],
  "crystal_system": "tetragonal",
  "e_form_raw_ev_per_atom": -0.3846
}

No. 6
{
  "formula": "PdSe2",
  "functional": "meta-GGA SCAN",
  "state": "PBEsol geometry",
  "cell": [[3.942, 0.000, 0.000], [0.000, 6.024, 0.000], [-3.444, 0.000, 5.080]],
  "species": ["Pd", "Pd", "Se", "Se", "Se", "Se"],
  "frac_coords": [[0.000, 0.000, 0.000], [0.000, 0.500, 0.500], [0.209, 0.115, 0.696], [0.209, 0.385, 0.196], [0.791, 0.615, 0.804], [0.791, 0.885, 0.304]],
  "crystal_system": "monoclinic",
  "e_form_raw_ev_per_atom": -0.2708,
  "dos_ef_per_ev_atom": 0.4432
}

No. 7
{
  "formula": "SnPd3Se",
  "functional": "meta-GGA SCAN",
  "state": "PBEsol geometry",
  "cell": [[4.842, 0.000, 0.000], [0.000, 4.842, 0.000], [0.000, 0.000, 4.842]],
  "species": ["Sn", "Pd", "Pd", "Pd", "Se"],
  "frac_coords": [[0.000, 0.000, 0.000], [0.000, 0.000, 0.500], [0.000, 0.500, 0.000], [0.500, 0.000, 0.000], [0.500, 0.500, 0.500]],
  "crystal_system": "cubic",
  "e_form_raw_ev_per_atom": 0.6429,
  "dos_ef_per_ev_atom": 0.3522
}

No. 8
{
  "formula": "SrPdSe3",
  "functional": "meta-GGA SCAN",
  "state": "PBEsol geometry",
  "cell": [[5.595, 0.000, 0.000], [0.000, 5.595, 0.000], [0.000, 0.000, 5.595]],
  "species": ["Sr", "Pd", "Se", "Se", "Se"],
  "frac_coords": [[0.000, 0.000, 0.000], [0.500, 0.500, 0.500], [0.000, 0.000, 0.500], [0.000, 0.500, 0.000], [0.500, 0.000, 0.000]],
  "crystal_system": "cubic",
  "e_form_raw_ev_per_atom": 0.5646,
  "dos_ef_per_ev_atom": 1.2061
}

No. 9
{
  "formula": "SrPd2Se2",
  "functional": "meta-GGA SCAN",
  "state": "PBEsol geometry",
  "cell": [[-2.435, 2.435, 4.453], [2.435, -2.435, 4.453], [2.435, 2.435, -4.453]],
  "species": ["Sr", "Pd", "Pd", "Se", "Se"],
  "frac_coords": [[0.000, 0.000, 0.000], [0.340, 0.340, 0.000], [0.660, 0.660, 0.000], [0.250, 0.750, 0.500], [0.750, 0.250, 0.500]],
  "crystal_system": "tetragonal",
  "e_form_raw_ev_per_atom": -0.8563,
  "dos_ef_per_ev_atom": 0.4005
}

No. 10
{
  "formula": "Sr2Pd2Se",
  "functional": "meta-GGA SCAN",
  "state": "PBEsol geometry",
  "cell": [[-1.902, 1.902, 8.321], [1.902, -1.902, 8.321], [1.902, 1.902, -8.321]],
  "species": ["Sr", "Sr", "Pd", "Pd", "Se"],
  "frac_coords": [[0.107, 0.107, 0.000], [0.893, 0.893, 0.000], [0.250, 0.750, 0.500], [0.750, 0.250, 0.500], [0.500, 0.500, 0.000]],
  "crystal_system": "tetragonal",
  "e_form_raw_ev_per_atom": -1.0760,
  "dos_ef_per_ev_atom": 0.2220
}

No. 11
{
  "formula": "SrPdSe2",
  "functional": "meta-GGA SCAN",
  "state": "PBEsol geometry",
  "cell": [[-2.739, 2.739, 7.471], [2.739, -2.739, 7.471], [2.739, 2.739, -7.471]],
  "species": ["Sr", "Sr", "Pd", "Pd", "Se", "Se", "Se", "Se"],
  "frac_coords": [[0.000, 0.000, 0.000], [0.750, 0.250, 0.500], [0.250, 0.750, 0.500], [0.500, 0.500, 0.000], [0.222, 0.625, 0.097], [0.375, 0.472, 0.597], [0.528, 0.125, 0.903], [0.875, 0.778, 0.403]],
  "crystal_system": "tetragonal",
  "e_form_raw_ev_per_atom": -0.9262,
  "dos_ef_per_ev_atom": 0.2599
}

No. 12
{
  "formula": "Ta2Pd3Se8",
  "functional": "meta-GGA SCAN",
  "state": "PBEsol geometry",
  "cell": [[10.744, 0.000, 0.000], [0.000, 15.108, 0.000], [0.000, 0.000, 3.540]],
  "species": ["Ta", "Ta", "Ta", "Ta", "Pd", "Pd", "Pd", "Pd", "Pd", "Pd", "Se", "Se", "Se", "Se", "Se", "Se", "Se", "Se", "Se", "Se", "Se", "Se", "Se", "Se", "Se", "Se"],
  "frac_coords": [[0.206, 0.120, 0.000], [0.294, 0.620, 0.000], [0.706, 0.380, 0.000], [0.794, 0.880, 0.000], [0.000, 0.000, 0.500], [0.132, 0.721, 0.500], [0.368, 0.221, 0.500], [0.500, 0.500, 0.500], [0.632, 0.779, 0.500], [0.868, 0.279, 0.500], [0.036, 0.158, 0.500], [0.056, 0.621, 0.000], [0.228, 0.994, 0.500], [0.238, 0.287, 0.000], [0.262, 0.787, 0.000], [0.272, 0.494, 0.500], [0.444, 0.121, 0.000], [0.464, 0.658, 0.500], [0.536, 0.342, 0.500], [0.556, 0.879, 0.000], [0.728, 0.506, 0.500], [0.738, 0.213, 0.000], [0.762, 0.713, 0.000], [0.772, 0.006, 0.500], [0.944, 0.379, 0.000], [0.964, 0.842, 0.500]],
  "crystal_system": "orthorhombic",
  "e_form_raw_ev_per_atom": -0.6812
}

No. 13
{
  "formula": "Te2PdSe2",
  "functional": "meta-GGA SCAN",
  "state": "PBEsol geometry",
  "cell": [[6.604, 0.000, 0.000], [0.000, 6.604, 0.000], [0.000, 0.000, 5.584]],
  "species": ["Te", "Te", "Te", "Te", "Pd", "Pd", "Se", "Se", "Se", "Se"],
  "frac_coords": [[0.227, 0.273, 0.000], [0.273, 0.773, 0.000], [0.727, 0.227, 0.000], [0.773, 0.727, 0.000], [0.000, 0.000, 0.500], [0.500, 0.500, 0.500], [0.170, 0.330, 0.500], [0.330, 0.830, 0.500], [0.670, 0.170, 0.500], [0.830, 0.670, 0.500]],
  "crystal_system": "tetragonal",
  "e_form_raw_ev_per_atom": 0.0284,
  "dos_ef_per_ev_atom": 0.5444
}

No. 14
{
  "formula": "Te8Pd5Se2",
  "functional": "meta-GGA SCAN",
  "state": "PBEsol geometry",
  "cell": [[17.218, -1.995, 0.000], [17.218, 1.995, 0.000], [-0.017, 0.000, 4.998]],
  "species": ["Te", "Te", "Te", "Te", "Te", "Te", "Te", "Te", "Pd", "Pd", "Pd", "Pd", "Pd", "Se", "Se"],
  "frac_coords": [[0.000, 0.000, 0.000], [0.132, 0.132, 0.436], [0.328, 0.328, 0.446], [0.397, 0.397, 0.988], [0.534, 0.534, 0.463], [0.728, 0.728, 0.428], [0.795, 0.795, 0.977], [0.931, 0.931, 0.453], [0.068, 0.068, 0.732], [0.260, 0.260, 0.706], [0.466, 0.466, 0.726], [0.663, 0.663, 0.717], [0.863, 0.863, 0.716], [0.195, 0.195, 0.961], [0.599, 0.599, 0.978]],
  "crystal_system": "monoclinic",
  "e_form_raw_ev_per_atom": -0.3783,
  "dos_ef_per_ev_atom": 0.4182
}

No. 15
{
  "formula": "Ti2PdSe",
  "functional": "meta-GGA SCAN",
  "state": "PBEsol geometry",
  "cell": [[-3.438, 3.438, 2.800], [3.438, -3.438, 2.800], [3.438, 3.438, -2.800]],
  "species": ["Ti", "Ti", "Ti", "Ti", "Pd", "Pd", "Se", "Se"],
  "frac_coords": [[0.116, 0.625, 0.991], [0.375, 0.366, 0.491], [0.634, 0.125, 0.009], [0.875, 0.884, 0.509], [0.250, 0.750, 0.500], [0.500, 0.500, 0.000], [0.000, 0.000, 0.000], [0.750, 0.250, 0.500]],
  "crystal_system": "tetragonal",
  "e_form_raw_ev_per_atom": -0.4535,
  "dos_ef_per_ev_atom": 1.0953
}

No. 16
{
  "formula": "TlPd2Se3",
  "functional": "meta-GGA SCAN",
  "state": "PBEsol geometry",
  "cell": [[7.418, 0.000, 0.000], [-3.709, 6.424, 0.000], [0.000, 0.000, 5.455]],
  "species": ["Tl", "Tl", "Pd", "Pd", "Pd", "Pd", "Se", "Se", "Se", "Se", "Se", "Se"],
  "frac_coords": [[0.333, 0.667, 0.355], [0.667, 0.333, 0.645], [0.000, 0.000, 0.000], [0.000, 0.500, 0.000], [0.500, 0.000, 0.000], [0.500, 0.500, 0.000], [0.169, 0.338, 0.769], [0.169, 0.831, 0.769], [0.338, 0.169, 0.231], [0.662, 0.831, 0.769], [0.831, 0.169, 0.231], [0.831, 0.662, 0.231]],
  "crystal_system": "trigonal",
  "e_form_raw_ev_per_atom": -0.4344,
  "dos_ef_per_ev_atom": 0.0673
}

No. 17
{
  "formula": "PdW3Se",
  "functional": "meta-GGA SCAN",
  "state": "PBEsol geometry",
  "cell": [[4.517, 0.000, 0.000], [0.000, 4.517, 0.000], [0.000, 0.000, 4.517]],
  "species": ["Pd", "W", "W", "W", "Se"],
  "frac_coords": [[0.000, 0.000, 0.000], [0.000, 0.500, 0.500], [0.500, 0.000, 0.500], [0.500, 0.500, 0.000], [0.500, 0.500, 0.500]],
  "crystal_system": "cubic",
  "e_form_raw_ev_per_atom": 1.8563,
  "dos_ef_per_ev_atom": 1.5062
}

No. 18
{
  "formula": "ZrPdSe3",
  "functional": "meta-GGA SCAN",
  "state": "PBEsol geometry",
  "cell": [[5.091, 0.000, 0.000], [0.000, 5.091, 0.000], [0.000, 0.000, 5.091]],
  "species": ["Zr", "Pd", "Se", "Se", "Se"],
  "frac_coords": [[0.000, 0.000, 0.000], [0.500, 0.500, 0.500], [0.000, 0.000, 0.500], [0.000, 0.500, 0.000], [0.500, 0.000, 0.000]],
  "crystal_system": "cubic",
  "e_form_raw_ev_per_atom": -0.1115,
  "dos_ef_per_ev_atom": 1.1841
}

No. 19
{
  "formula": "ZrPd3Se",
  "functional": "meta-GGA SCAN",
  "state": "PBEsol geometry",
  "cell": [[4.807, 0.000, 0.000], [0.000, 4.807, 0.000], [0.000, 0.000, 4.807]],
  "species": ["Zr", "Pd", "Pd", "Pd", "Se"],
  "frac_coords": [[0.000, 0.000, 0.000], [0.000, 0.000, 0.500], [0.000, 0.500, 0.000], [0.500, 0.000, 0.000], [0.500, 0.500, 0.500]],
  "crystal_system": "cubic",
  "e_form_raw_ev_per_atom": 0.7546,
  "dos_ef_per_ev_atom": 0.4537
}

No. 20
{
  "formula": "SiPd",
  "functional": "meta-GGA SCAN",
  "state": "PBEsol geometry",
  "cell": [[5.578, 0.000, 0.000], [0.000, 3.414, 0.000], [0.000, 0.000, 6.095]],
  "species": ["Si", "Si", "Si", "Si", "Pd", "Pd", "Pd", "Pd"],
  "frac_coords": [[0.177, 0.250, 0.073], [0.323, 0.750, 0.573], [0.677, 0.250, 0.427], [0.823, 0.750, 0.927], [0.005, 0.250, 0.690], [0.495, 0.750, 0.190], [0.505, 0.250, 0.810], [0.995, 0.750, 0.310]],
  "crystal_system": "orthorhombic",
  "e_form_raw_ev_per_atom": -0.5760,
  "dos_ef_per_ev_atom": 0.2101
}

No. 21
{
  "formula": "SiPd3",
  "functional": "meta-GGA SCAN",
  "state": "PBEsol geometry",
  "cell": [[5.705, 0.000, 0.000], [0.000, 7.542, 0.000], [0.000, 0.000, 5.268]],
  "species": ["Si", "Si", "Si", "Si", "Pd", "Pd", "Pd", "Pd", "Pd", "Pd", "Pd", "Pd", "Pd", "Pd", "Pd", "Pd"],
  "frac_coords": [[0.100, 0.250, 0.028], [0.400, 0.750, 0.528], [0.600, 0.250, 0.472], [0.900, 0.750, 0.972], [0.003, 0.750, 0.409], [0.182, 0.548, 0.819], [0.182, 0.952, 0.819], [0.318, 0.048, 0.319], [0.318, 0.452, 0.319], [0.497, 0.250, 0.909], [0.503, 0.750, 0.091], [0.682, 0.548, 0.681], [0.682, 0.952, 0.681], [0.818, 0.048, 0.181], [0.818, 0.452, 0.181], [0.997, 0.250, 0.591]],
  "crystal_system": "orthorhombic",
  "e_form_raw_ev_per_atom": -0.6694,
  "dos_ef_per_ev_atom": 0.1817
}

No. 22
{
  "formula": "SiPd2",
  "functional": "meta-GGA SCAN",
  "state": "PBEsol geometry",
  "cell": [[6.464, 0.000, 0.000], [-3.232, 5.598, 0.000], [0.000, 0.000, 3.445]],
  "species": ["Si", "Si", "Si", "Pd", "Pd", "Pd", "Pd", "Pd", "Pd"],
  "frac_coords": [[0.000, 0.000, 0.000], [0.333, 0.667, 0.500], [0.667, 0.333, 0.500], [0.000, 0.394, 0.000], [0.000, 0.735, 0.500], [0.265, 0.265, 0.500], [0.394, 0.000, 0.000], [0.606, 0.606, 0.000], [0.735, 0.000, 0.500]],
  "crystal_system": "hexagonal",
  "e_form_raw_ev_per_atom": -0.7596,
  "dos_ef_per_ev_atom": 0.1724
}